First-principles (GGA-PBE) data for crystalline Ti3Al3FePd2 at its relaxed geometry, as listed in the Alexandria database.

Geometry as POSCAR:
```
Ti3Al3FePd2
1.0
2.922 0.000 0.000
0.000 7.342 0.000
0.000 -3.671 6.358
Ti Pd Al Fe
3 2 3 1
Direct
0.500 0.741 0.000
0.500 0.259 0.259
0.500 0.000 0.741
0.500 0.667 0.333
0.500 0.333 0.667
0.000 0.000 0.381
0.000 0.619 0.619
0.000 0.381 0.000
0.000 0.000 0.000
```

Summary:
crystal system: hexagonal
ΔH_f (0 K): -0.57 eV/atom
DOS at the Fermi energy: 8.62 states/eV/f.u.
magnetic moment: 0.011 μB/f.u.
total energy: -6.539 eV per atom